A geometry-optimized FeSi3O structure. Source: the Alexandria database, functional GGA+U.

Computed properties:
SG = No. 221
Energy above the lowest structure with this stoichiometry = 290.9 meV/atom
Total DFT energy (no corrections) = -23.344 eV per formula unit
Magnetization = 0.00 μB/cell
D(E_F) = 0.0 states/eV/cell

abc: 4.1820 4.1820 4.1820
angles: 90.00 90.00 90.00
With the nearest neighbours (Å) after each atom.
Element x y z (fractional)
1 Fe 0.0000 0.0000 0.0000  6 Si 2.09
2 Si 0.0000 0.0000 0.5000  2 Fe 2.09
3 Si 0.0000 0.5000 0.0000  2 Fe 2.09
4 Si 0.5000 0.0000 0.0000  2 Fe 2.09
5 O 0.5000 0.5000 0.5000  12 Si 2.96